Record 1
Below is Cs3RbLi at its PBEsol-relaxed geometry, with properties calculated at the SCAN level.

## Properties
The value obtained for the total DFT energy (no corrections) is -26.952 eV/atom. As for the symmetry: No. 221. For the energy relative to the elements, the calculation gives 8.3 kcal/mol of atoms.

extended XYZ file:
```
5
Lattice="8.321 0.000 0.000 0.000 8.321 0.000 0.000 0.000 8.321" Properties=species:S:1:pos:R:3 pbc="T T T"
Cs 0.000 0.000 4.160
Cs 0.000 4.160 0.000
Cs 4.160 0.000 0.000
Rb 0.000 0.000 0.000
Li 4.160 4.160 4.160
```

---

Record 2
Below is Cs2RbLiSb at its PBEsol-relaxed geometry, with properties calculated at the SCAN level.

## Properties
The value obtained for the total DFT energy (no corrections) is -26.937 eV/atom. As for the symmetry: No. 123.

extended XYZ file:
```
5
Lattice="7.263 0.000 0.000 0.000 7.263 0.000 0.000 0.000 6.295" Properties=species:S:1:pos:R:3 pbc="T T T"
Cs 0.000 3.631 0.000
Cs 3.631 0.000 0.000
Rb 0.000 0.000 0.000
Li 3.631 3.631 3.147
Sb 0.000 0.000 3.147
```

---

Record 3
Below is CsLi3Rh at its PBEsol-relaxed geometry, with properties calculated at the SCAN level.

## Properties
The value obtained for the total DFT energy (no corrections) is -15.543 eV/atom. As for the symmetry: No. 221. For the energy relative to the elements, the calculation gives 4.8 kcal/mol of atoms.

extended XYZ file:
```
5
Lattice="4.981 0.000 0.000 0.000 4.981 0.000 0.000 0.000 4.981" Properties=species:S:1:pos:R:3 pbc="T T T"
Cs 0.000 0.000 0.000
Li 0.000 2.491 2.491
Li 2.491 0.000 2.491
Li 2.491 2.491 0.000
Rh 2.491 2.491 2.491
```

---

Record 4
Below is CsLi2Rh at its PBEsol-relaxed geometry, with properties calculated at the SCAN level.

## Properties
The value obtained for the total DFT energy (no corrections) is -18.551 eV/atom. As for the symmetry: No. 225. For the energy relative to the elements, the calculation gives 12.4 kcal/mol of atoms.

extended XYZ file:
```
4
Lattice="0.000 3.449 3.449 3.449 0.000 3.449 3.449 3.449 0.000" Properties=species:S:1:pos:R:3 pbc="T T T"
Cs 0.000 0.000 0.000
Li 1.724 1.724 1.724
Li 5.173 5.173 5.173
Rh 3.449 3.449 3.449
```

---

Record 5
Below is CsLiRuSe2 at its PBEsol-relaxed geometry, with properties calculated at the SCAN level.

## Properties
The value obtained for the total DFT energy (no corrections) is -23.400 eV/atom. As for the symmetry: No. 123.

extended XYZ file:
```
5
Lattice="4.857 0.000 0.000 0.000 4.857 0.000 0.000 0.000 5.078" Properties=species:S:1:pos:R:3 pbc="T T T"
Cs 0.000 0.000 0.000
Li 2.429 2.429 0.000
Ru 2.429 2.429 2.539
Se 0.000 2.429 2.539
Se 2.429 0.000 2.539
```

---

Record 6
Below is CsLiS3 at its PBEsol-relaxed geometry, with properties calculated at the SCAN level.

## Properties
The value obtained for the total DFT energy (no corrections) is -13.900 eV/atom. As for the symmetry: No. 221.

extended XYZ file:
```
5
Lattice="4.764 0.000 0.000 0.000 4.764 0.000 0.000 0.000 4.764" Properties=species:S:1:pos:R:3 pbc="T T T"
Cs 0.000 0.000 0.000
Li 2.382 2.382 2.382
S 0.000 2.382 2.382
S 2.382 0.000 2.382
S 2.382 2.382 0.000
```

---

Record 7
Below is CsLiS2 at its PBEsol-relaxed geometry, with properties calculated at the SCAN level.

## Properties
The value obtained for the total DFT energy (no corrections) is -15.841 eV/atom. As for the symmetry: No. 141.

extended XYZ file:
```
8
Lattice="-2.526 2.526 8.084 2.526 -2.526 8.084 2.526 2.526 -8.084" Properties=species:S:1:pos:R:3 pbc="T T T"
Cs 2.526 1.263 2.021
Cs 0.000 1.263 6.063
Li 2.526 -1.263 6.063
Li 0.000 3.789 2.021
S 0.000 0.000 0.000
S 1.263 1.263 -4.042
S 1.263 -1.263 4.042
S 0.000 2.526 0.000
```

---

Record 8
Below is CsLi3Sb at its PBEsol-relaxed geometry, with properties calculated at the SCAN level.

## Properties
The value obtained for the total DFT energy (no corrections) is -16.788 eV/atom. The value obtained for the energy above the most stable polymorph in this dataset is 0 meV/atom. As for the symmetry: No. 221.

extended XYZ file:
```
5
Lattice="5.375 0.000 0.000 0.000 5.375 0.000 0.000 0.000 5.375" Properties=species:S:1:pos:R:3 pbc="T T T"
Cs 0.000 0.000 0.000
Li 0.000 2.687 2.687
Li 2.687 0.000 2.687
Li 2.687 2.687 0.000
Sb 2.687 2.687 2.687
```

---

Record 9
Below is CsLi3Sb at its PBEsol-relaxed geometry, with properties calculated at the SCAN level.

## Properties
The value obtained for the total DFT energy (no corrections) is -15.747 eV/atom. The value obtained for the energy above the most stable polymorph in this dataset is 1041 meV/atom. As for the symmetry: No. 221.

extended XYZ file:
```
5
Lattice="5.219 0.000 0.000 0.000 5.219 0.000 0.000 0.000 5.219" Properties=species:S:1:pos:R:3 pbc="T T T"
Cs 0.000 0.000 0.000
Li 0.000 0.000 2.609
Li 0.000 2.609 0.000
Li 2.609 0.000 0.000
Sb 2.609 2.609 2.609
```

---

Record 10
Below is CsLiSb2Te at its PBEsol-relaxed geometry, with properties calculated at the SCAN level.

## Properties
The value obtained for the total DFT energy (no corrections) is -29.306 eV/atom. As for the symmetry: No. 123.

extended XYZ file:
```
5
Lattice="6.138 0.000 0.000 0.000 6.138 0.000 0.000 0.000 6.320" Properties=species:S:1:pos:R:3 pbc="T T T"
Cs 0.000 0.000 0.000
Li 3.069 3.069 3.160
Sb 0.000 3.069 0.000
Sb 3.069 0.000 0.000
Te 0.000 0.000 3.160
```

---

Record 11
Below is CsLiSn2 at its PBEsol-relaxed geometry, with properties calculated at the SCAN level.

## Properties
The value obtained for the total DFT energy (no corrections) is -27.813 eV/atom. As for the symmetry: No. 225. For the energy relative to the elements, the calculation gives 4.6 kcal/mol of atoms.

extended XYZ file:
```
4
Lattice="0.000 3.949 3.949 3.949 0.000 3.949 3.949 3.949 0.000" Properties=species:S:1:pos:R:3 pbc="T T T"
Cs 0.000 0.000 0.000
Li 3.949 3.949 3.949
Sn 1.975 1.975 1.975
Sn 5.924 5.924 5.924
```

---

Record 12
Below is CsSr2Li2 at its PBEsol-relaxed geometry, with properties calculated at the SCAN level.

## Properties
The value obtained for the total DFT energy (no corrections) is -17.294 eV/atom. As for the symmetry: No. 127. For the energy relative to the elements, the calculation gives 3.1 kcal/mol of atoms.

extended XYZ file:
```
10
Lattice="10.735 0.000 0.000 0.000 10.735 0.000 0.000 0.000 4.023" Properties=species:S:1:pos:R:3 pbc="T T T"
Cs 0.000 0.000 0.000
Cs 5.368 5.368 0.000
Sr 1.390 3.977 0.000
Sr 3.977 9.345 0.000
Sr 6.758 1.390 0.000
Sr 9.345 6.758 0.000
Li 1.716 7.084 2.012
Li 3.651 1.716 2.012
Li 7.084 9.019 2.012
Li 9.019 3.651 2.012
```